# Na2AlBAs4O14 PBE relaxed
# mass density: 3.66 g cm⁻³
# E_tot: -6.26 eV/atom
# ΔE_f (raw): -1.666 eV/atom
data_Na2AlBAs4O14
_chemical_formula_sum 'Na8 Al4 B4 As16 O56'
_cell_length_a 4.681
_cell_length_b 21.084
_cell_length_c 11.171
_cell_angle_alpha 90.00
_cell_angle_beta 90.27
_cell_angle_gamma 90.00
_symmetry_space_group_name_H-M 'P 1 21/c 1'
_symmetry_Int_Tables_number 14
_symmetry_space_group_name_Hall '-P 2ybc'
loop_
_atom_site_label
_atom_site_type_symbol
_atom_site_fract_x
_atom_site_fract_y
_atom_site_fract_z
Na1 Na 0.218 0.025 0.413
Na2 Na 0.225 0.210 0.976
Al1 Al 0.225 0.178 0.274
B1 B 0.203 0.606 0.636
As1 As 0.259 0.646 0.036
As2 As 0.262 0.608 0.375
As3 As 0.273 0.720 0.785
As4 As 0.297 0.035 0.794
O1 O 0.009 0.605 0.266
O2 O 0.014 0.728 0.332
O3 O 0.023 0.700 0.097
O4 O 0.063 0.547 0.674
O5 O 0.099 0.659 0.714
O6 O 0.109 0.625 0.513
O7 O 0.111 0.582 0.975
O8 O 0.355 0.018 0.652
O9 O 0.397 0.529 0.390
O10 O 0.436 0.693 0.919
O11 O 0.454 0.128 0.375
O12 O 0.454 0.247 0.801
O13 O 0.455 0.158 0.136
O14 O 0.483 0.098 0.861

---

# AlBAsSe2 PBE relaxed
# mass density: 5.01 g cm⁻³
# energy relative to the lowest polymorph listed for this composition: 0 meV per atom
# E_tot: -3.78 eV/atom
# ΔE_f (raw): 0.625 eV/atom
data_AlBAsSe2
_chemical_formula_sum 'Al1 B1 As1 Se2'
_cell_length_a 4.498
_cell_length_b 4.498
_cell_length_c 4.436
_cell_angle_alpha 90.00
_cell_angle_beta 90.00
_cell_angle_gamma 90.00
_symmetry_space_group_name_H-M 'P 4/m m m'
_symmetry_Int_Tables_number 123
_symmetry_space_group_name_Hall '-P 4 2'
loop_
_atom_site_label
_atom_site_type_symbol
_atom_site_fract_x
_atom_site_fract_y
_atom_site_fract_z
Al1 Al 0.000 0.000 0.000
B1 B 0.500 0.500 0.500
As1 As 0.500 0.500 0.000
Se1 Se 0.000 0.500 0.500

---

# AlBAs2Se PBE relaxed
# mass density: 5.01 g cm⁻³
# energy relative to the lowest polymorph listed for this composition: 0 meV per atom
# E_tot: -3.95 eV/atom
# ΔE_f (raw): 0.689 eV/atom
data_AlBAs2Se
_chemical_formula_sum 'Al1 B1 As2 Se1'
_cell_length_a 4.419
_cell_length_b 4.419
_cell_length_c 4.527
_cell_angle_alpha 90.00
_cell_angle_beta 90.00
_cell_angle_gamma 90.00
_symmetry_space_group_name_H-M 'P 4/m m m'
_symmetry_Int_Tables_number 123
_symmetry_space_group_name_Hall '-P 4 2'
loop_
_atom_site_label
_atom_site_type_symbol
_atom_site_fract_x
_atom_site_fract_y
_atom_site_fract_z
Al1 Al 0.000 0.000 0.000
B1 B 0.500 0.500 0.500
As1 As 0.000 0.500 0.500
Se1 Se 0.500 0.500 0.000

---

# AlBAsSe2 PBE relaxed
# mass density: 3.89 g cm⁻³
# energy relative to the lowest polymorph listed for this composition: 460 meV per atom
# E_tot: -3.32 eV/atom
# ΔE_f (raw): 1.085 eV/atom
data_AlBAsSe2
_chemical_formula_sum 'Al1 B1 As1 Se2'
_cell_length_a 4.906
_cell_length_b 4.906
_cell_length_c 4.799
_cell_angle_alpha 90.00
_cell_angle_beta 90.00
_cell_angle_gamma 90.00
_symmetry_space_group_name_H-M 'P 4/m m m'
_symmetry_Int_Tables_number 123
_symmetry_space_group_name_Hall '-P 4 2'
loop_
_atom_site_label
_atom_site_type_symbol
_atom_site_fract_x
_atom_site_fract_y
_atom_site_fract_z
Al1 Al 0.000 0.000 0.000
B1 B 0.500 0.500 0.500
As1 As 0.000 0.000 0.500
Se1 Se 0.000 0.500 0.000

---

# AlBAs2Se PBE relaxed
# mass density: 3.87 g cm⁻³
# energy relative to the lowest polymorph listed for this composition: 552 meV per atom
# E_tot: -3.40 eV/atom
# ΔE_f (raw): 1.241 eV/atom
data_AlBAs2Se
_chemical_formula_sum 'Al1 B1 As2 Se1'
_cell_length_a 4.817
_cell_length_b 4.817
_cell_length_c 4.927
_cell_angle_alpha 90.00
_cell_angle_beta 90.00
_cell_angle_gamma 90.00
_symmetry_space_group_name_H-M 'P 4/m m m'
_symmetry_Int_Tables_number 123
_symmetry_space_group_name_Hall '-P 4 2'
loop_
_atom_site_label
_atom_site_type_symbol
_atom_site_fract_x
_atom_site_fract_y
_atom_site_fract_z
Al1 Al 0.000 0.000 0.000
B1 B 0.500 0.500 0.500
As1 As 0.000 0.500 0.000
Se1 Se 0.000 0.000 0.500

---

# TaAlBAs2 PBE relaxed
# energy of formation from the pure elements: 1.1638 eV per atom
# mass density: 6.70 g cm⁻³
# E_tot: -5.15 eV/atom
data_TaAlBAs2
_chemical_formula_sum 'Ta1 Al1 B1 As2'
_cell_length_a 4.887
_cell_length_b 4.887
_cell_length_c 3.823
_cell_angle_alpha 90.00
_cell_angle_beta 90.00
_cell_angle_gamma 90.00
_symmetry_space_group_name_H-M 'P 4/m m m'
_symmetry_Int_Tables_number 123
_symmetry_space_group_name_Hall '-P 4 2'
loop_
_atom_site_label
_atom_site_type_symbol
_atom_site_fract_x
_atom_site_fract_y
_atom_site_fract_z
Ta1 Ta 0.000 0.000 0.000
Al1 Al 0.500 0.500 0.500
B1 B 0.500 0.500 0.000
As1 As 0.000 0.500 0.500

---

# AlVB2As PBE relaxed
# energy of formation from the pure elements: 1.5242 eV per atom
# mass density: 3.69 g cm⁻³
# E_tot: -4.65 eV/atom
data_AlVB2As
_chemical_formula_sum 'Al1 V1 B2 As1'
_cell_length_a 3.971
_cell_length_b 3.971
_cell_length_c 4.980
_cell_angle_alpha 90.00
_cell_angle_beta 90.00
_cell_angle_gamma 90.00
_symmetry_space_group_name_H-M 'P 4/m m m'
_symmetry_Int_Tables_number 123
_symmetry_space_group_name_Hall '-P 4 2'
loop_
_atom_site_label
_atom_site_type_symbol
_atom_site_fract_x
_atom_site_fract_y
_atom_site_fract_z
Al1 Al 0.000 0.000 0.000
V1 V 0.000 0.000 0.500
B1 B 0.000 0.500 0.000
As1 As 0.500 0.500 0.500

---

# AlBAs2W PBE relaxed
# energy of formation from the pure elements: 2.0958 eV per atom
# mass density: 5.87 g cm⁻³
# E_tot: -4.44 eV/atom
data_AlBAs2W
_chemical_formula_sum 'Al1 B1 As2 W1'
_cell_length_a 4.635
_cell_length_b 4.635
_cell_length_c 4.893
_cell_angle_alpha 90.00
_cell_angle_beta 90.00
_cell_angle_gamma 90.00
_symmetry_space_group_name_H-M 'P 4/m m m'
_symmetry_Int_Tables_number 123
_symmetry_space_group_name_Hall '-P 4 2'
loop_
_atom_site_label
_atom_site_type_symbol
_atom_site_fract_x
_atom_site_fract_y
_atom_site_fract_z
Al1 Al 0.000 0.000 0.000
B1 B 0.500 0.500 0.500
As1 As 0.000 0.500 0.000
W1 W 0.000 0.000 0.500

---

# BaAl2As PBE relaxed
# energy of formation from the pure elements: 0.0990 eV per atom
# mass density: 4.13 g cm⁻³
# E_tot: -3.42 eV/atom
data_BaAl2As
_chemical_formula_sum 'Ba2 Al4 As2'
_cell_length_a 6.330
_cell_length_b 11.710
_cell_length_c 3.379
_cell_angle_alpha 90.00
_cell_angle_beta 121.33
_cell_angle_gamma 90.00
_symmetry_space_group_name_H-M 'C 1 2/m 1'
_symmetry_Int_Tables_number 12
_symmetry_space_group_name_Hall '-C 2y'
loop_
_atom_site_label
_atom_site_type_symbol
_atom_site_fract_x
_atom_site_fract_y
_atom_site_fract_z
Ba1 Ba 0.000 0.000 0.000
Al1 Al 0.250 0.250 0.000
As1 As 0.000 0.500 0.000

---

# BaAl2As PBE relaxed
# energy of formation from the pure elements: 0.0341 eV per atom
# mass density: 4.29 g cm⁻³
# E_tot: -3.48 eV/atom
data_BaAl2As
_chemical_formula_sum 'Ba4 Al8 As4'
_cell_length_a 7.444
_cell_length_b 7.444
_cell_length_c 7.444
_cell_angle_alpha 90.00
_cell_angle_beta 90.00
_cell_angle_gamma 90.00
_symmetry_space_group_name_H-M 'F -4 3 m'
_symmetry_Int_Tables_number 216
_symmetry_space_group_name_Hall 'F -4 2 3'
loop_
_atom_site_label
_atom_site_type_symbol
_atom_site_fract_x
_atom_site_fract_y
_atom_site_fract_z
Ba1 Ba 0.000 0.000 0.000
Al1 Al 0.000 0.000 0.500
Al2 Al 0.250 0.250 0.250
As1 As 0.250 0.250 0.750

---

# BaAl2As PBE relaxed
# energy of formation from the pure elements: -0.3596 eV per atom
# mass density: 4.09 g cm⁻³
# E_tot: -3.87 eV/atom
data_BaAl2As
_chemical_formula_sum 'Ba2 Al4 As2'
_cell_length_a 8.701
_cell_length_b 4.160
_cell_length_c 6.232
_cell_angle_alpha 90.00
_cell_angle_beta 106.76
_cell_angle_gamma 90.00
_symmetry_space_group_name_H-M 'C 1 m 1'
_symmetry_Int_Tables_number 8
_symmetry_space_group_name_Hall 'C -2y'
loop_
_atom_site_label
_atom_site_type_symbol
_atom_site_fract_x
_atom_site_fract_y
_atom_site_fract_z
Ba1 Ba 0.000 0.000 0.000
Al1 Al 0.018 0.500 0.541
Al2 Al 0.234 0.000 0.631
As1 As 0.262 0.500 0.368

---

# BaAl4As PBE relaxed
# energy of formation from the pure elements: 0.1086 eV per atom
# mass density: 3.89 g cm⁻³
# E_tot: -3.48 eV/atom
data_BaAl4As
_chemical_formula_sum 'Ba4 Al16 As4'
_cell_length_a 8.176
_cell_length_b 8.176
_cell_length_c 8.176
_cell_angle_alpha 90.00
_cell_angle_beta 90.00
_cell_angle_gamma 90.00
_symmetry_space_group_name_H-M 'F -4 3 m'
_symmetry_Int_Tables_number 216
_symmetry_space_group_name_Hall 'F -4 2 3'
loop_
_atom_site_label
_atom_site_type_symbol
_atom_site_fract_x
_atom_site_fract_y
_atom_site_fract_z
Ba1 Ba 0.000 0.000 0.000
Al1 Al 0.124 0.124 0.624
As1 As 0.250 0.250 0.250